# 1
PBE PmGeAu, relaxed; density = 10.14 Mg/m³; electronic total energy = -5.02 eV per atom; spin magnetization = 0.002 μB per cell
1.0
-3.622 0.556 2.567
4.018 -0.555 1.890
0.559 3.874 -0.050
Au Ge Pm
1 1 1
Cartesian
0.082 0.570 -0.007
-0.969 0.922 2.332
1.841 2.383 2.082



# 2
PBE PmGe2Au2, relaxed; density = 10.82 Mg/m³; electronic total energy = -4.64 eV per atom; spin magnetization = 0.008 μB per cell
1.0
-2.335 -0.850 -3.660
3.483 -2.104 -1.734
-3.416 -9.213 4.318
Ge Au Pm
4 4 2
Cartesian
-1.134 -6.083 -0.538
-1.626 -1.660 -1.251
-1.216 -9.030 2.872
-1.708 -4.606 2.159
0.574 -1.477 -2.697
-0.423 -6.890 1.869
-2.419 -3.800 -0.248
0.000 0.000 0.000
-3.754 -7.400 1.439
0.912 -3.290 0.182



# 3
PBE PmGe2Au3, relaxed; density = 11.87 Mg/m³; electronic total energy = -4.42 eV per atom; spin magnetization = 0.009 μB per cell
1.0
-6.024 -5.580 -2.278
-2.877 -8.021 -0.069
-1.550 3.531 6.109
Au Ge Pm
6 4 2
Cartesian
-1.613 1.782 4.267
-6.504 -6.961 1.575
-2.895 -4.082 -0.385
-8.838 -11.853 -0.506
-7.556 -5.988 4.146
-3.947 -3.110 2.186
-7.499 -9.570 0.108
-5.796 -3.975 3.864
-2.953 -0.501 3.653
-4.656 -6.096 -0.103
-1.506 -1.147 0.877
-8.946 -8.923 2.884



# 4
PBE PmGeAu, relaxed; density = 9.29 Mg/m³; electronic total energy = -4.94 eV per atom; spin magnetization = 0.001 μB per cell
1.0
0.990 2.060 4.124
-3.003 -0.396 3.614
1.145 -2.637 3.738
Au Ge Pm
1 1 1
Cartesian
0.000 0.000 0.000
-0.217 -0.243 2.869
-0.651 -0.730 8.608



# 5
PBE PmGeAu, relaxed; density = 8.42 Mg/m³; electronic total energy = -4.46 eV per atom; spin magnetization = 0.004 μB per cell
1.0
0.000 3.445 3.445
3.445 0.000 3.445
3.445 3.445 0.000
Ge Au Pm
1 1 1
Cartesian
5.168 5.168 5.168
1.723 1.723 1.723
0.000 0.000 0.000



# 6
PBE Pm3Ge4Au4, relaxed; density = 10.41 Mg/m³; electronic total energy = -4.86 eV per atom; spin magnetization = 0.002 μB per cell
1.0
-2.117 2.200 12.963
2.117 -2.200 12.963
2.117 2.200 -12.963
Pm Au Ge
3 4 4
Cartesian
2.117 0.000 0.000
0.000 0.000 9.074
0.000 0.000 16.853
0.000 0.000 2.423
0.000 0.000 23.504
2.117 0.000 6.539
0.000 2.200 6.424
2.117 0.000 11.722
0.000 2.200 1.242
0.000 0.000 4.923
0.000 0.000 21.004



# 7
PBE Pr4Ge3Au, relaxed; density = 7.69 Mg/m³; electronic total energy = -5.32 eV per atom; spin magnetization = 0.051 μB per cell
1.0
6.068 0.000 0.000
0.000 4.233 0.000
-0.136 0.000 8.229
Ge Pr Au
3 4 1
Cartesian
2.191 2.117 3.762
5.233 0.000 0.334
3.822 0.000 4.418
2.297 0.000 1.417
0.724 0.000 5.610
5.309 2.117 2.616
3.712 2.117 6.752
0.730 2.117 7.900



# 8
PBE Pr2GeAu, relaxed; density = 8.51 Mg/m³; electronic total energy = -5.14 eV per atom; spin magnetization = 0.010 μB per cell
1.0
4.492 0.000 0.000
0.000 2.110 5.675
0.000 -2.110 5.675
Ge Pr Au
1 2 1
Cartesian
2.246 0.000 6.658
2.246 0.000 9.775
0.000 0.000 1.538
0.000 0.000 4.731



# 9
PBE Pr2GeAu, relaxed; density = 8.55 Mg/m³; electronic total energy = -5.14 eV per atom; spin magnetization = 0.106 μB per cell
1.0
4.475 0.000 0.000
0.000 6.012 0.000
0.000 0.000 7.961
Pr Au Ge
4 2 2
Cartesian
0.000 0.667 2.550
2.237 2.301 5.415
0.000 5.345 6.530
2.237 3.712 1.435
0.000 2.372 7.631
0.000 3.640 3.650
2.237 5.380 4.307
2.237 0.632 0.326



# 10
PBE PrGeAu, relaxed; density = 10.03 Mg/m³; electronic total energy = -5.00 eV per atom; spin magnetization = 0.003 μB per cell
1.0
7.386 0.000 0.000
-3.693 6.396 0.000
0.000 0.000 4.316
Ge Au Pr
3 3 3
Cartesian
0.000 4.264 0.000
3.693 2.132 0.000
0.000 0.000 2.158
-0.960 1.662 0.000
2.733 4.734 0.000
1.919 0.000 0.000
4.363 0.000 2.158
1.511 2.618 2.158
-2.182 3.779 2.158



# 11
PBE PrGe2Au4, relaxed; density = 12.57 Mg/m³; electronic total energy = -4.28 eV per atom; spin magnetization = 0.000 μB per cell
1.0
2.236 -7.121 0.000
2.236 7.121 0.000
0.000 0.000 4.456
Pr Au Ge
1 4 2
Cartesian
0.000 0.000 0.000
2.236 -4.580 2.228
2.236 2.577 0.000
2.236 -2.577 0.000
2.236 4.580 2.228
2.236 -1.248 2.228
2.236 1.248 2.228



# 12
PBE PrGeAu, relaxed; density = 9.39 Mg/m³; electronic total energy = -4.67 eV per atom; spin magnetization = 0.002 μB per cell
1.0
-3.854 -3.726 -6.023
7.339 -2.481 2.237
-1.599 -2.444 2.535
Pr Ge Au
3 3 3
Cartesian
-1.090 -1.054 -1.703
2.499 -4.452 -2.715
2.075 -0.702 0.633
-0.123 -3.311 -3.270
-0.800 -1.222 1.268
3.608 -2.896 -0.517
3.784 -2.772 2.665
0.509 -3.552 -0.154
-3.207 -3.550 -2.495